First-principles (PBE) data for a geometry-optimized Ag3Pb structure, as listed in Alexandria via LeMat-Bulk.

Results
Symmetry = I4/mmm
Formation energy from the elements = 0.10 eV per atom
Total DFT energy (no corrections) = -2.9696 eV per atom
Size of the total moment = 0.000 μB per formula unit

a b c (Å): 9.272 9.272 9.272
angles (deg): 152.85 152.85 38.77
Fractional positions:
Ag  0.000  0.500  0.500
Ag  0.124  0.124  0.000
Ag  0.250  0.750  0.500
Ag  0.500  0.000  0.500
Ag  0.750  0.250  0.500
Ag  0.876  0.876  0.000
Pb  0.374  0.374  0.000
Pb  0.626  0.626  0.000